{"formula": "YIrPb2", "functional": "PBE", "state": "relaxed", "lattice": [[4.2512, 0.0000, 0.0000], [0.0000, 4.6559, 0.0000], [-1.1324, 0.0000, 5.1469]], "species": ["Y", "Ir", "Pb", "Pb"], "frac_coords": [[0.0000, 0.0000, 0.0000], [0.5000, 0.0000, 0.5000], [0.3130, 0.5000, 0.7195], [0.6870, 0.5000, 0.2805]], "sg": "P2/m, No. 10", "formation_enthalpy_0k_ev_per_fu": -0.399, "de_polymorph_ev_per_fu": 0.56, "total_energy_ev_per_atom": -5.7851, "density_g_cm3": 11.34, "vol_a3_per_cell": 101.87, "m_tot_mub_per_cell": 0.0}